<1>
An optimized crystal structure of Tm4CdNi. Source: the Alexandria database, functional PBE-GGA.

POSCAR file:
```
Tm4CdNi
1.0
-7.855 4.843 -1.898
-7.196 -4.222 -4.378
-7.941 -1.867 4.714
Tm Ni Cd
16 4 4
Cartesian
-15.888 1.101 -1.587
-12.828 -1.568 2.319
-18.567 -0.471 -3.217
-15.920 -1.398 0.874
-18.845 0.405 0.168
-8.005 -0.434 -0.544
-15.643 -2.274 -2.510
-13.765 -4.030 -0.085
-14.176 1.620 1.461
-18.599 -2.969 -0.755
-13.711 0.152 -4.206
-8.816 -2.866 -3.023
-9.280 -1.398 2.644
-9.227 2.784 -1.477
-12.375 -2.998 -3.203
-12.776 2.508 -1.697
-6.656 1.909 -1.040
-6.693 -0.982 1.809
-6.372 -1.996 -2.108
-3.272 -0.177 -0.222
-13.369 -0.724 -0.908
-10.781 -0.116 -2.444
-11.024 0.651 0.518
-10.809 -2.303 -0.290
```

Properties
- size of the total moment (μB per cell) = 0.00



<2>
An optimized crystal structure of Tm4CdNi. Source: the Alexandria database, functional PBE-GGA.

POSCAR file:
```
Tm4CdNi
1.0
6.798 0.000 -0.229
0.000 6.955 0.000
-0.326 0.000 7.074
Cd Tm Ni
2 8 2
Cartesian
3.399 3.477 -0.115
0.000 0.000 0.000
2.600 5.970 1.210
1.048 5.808 4.476
3.871 0.985 5.635
0.472 2.492 5.750
4.447 4.623 4.361
5.424 1.146 2.369
2.025 2.331 2.484
6.000 4.462 1.095
3.236 0.000 3.422
-0.163 3.477 3.537
```

Properties
- size of the total moment (μB per cell) = 0.00



Bottom line: <1>, by a margin of 236 meV/atom.